No. 1
SmMnIr GGA-PBE optimized geometry; space group = Fddd
1.0
-3.763 3.445 0.501
-4.513 -0.600 -3.540
-6.159 -3.880 6.654
Mn Ir Sm
4 4 4
direct
0.155 0.500 0.690
0.345 0.500 0.310
0.595 0.000 0.810
0.405 0.000 0.190
0.624 0.500 0.751
0.876 0.500 0.249
0.126 0.000 0.749
0.874 0.000 0.251
0.903 0.193 0.500
0.597 0.807 0.500
0.847 0.307 0.000
0.153 0.693 0.000

***

No. 2
MnSnIr2 GGA-PBE optimized geometry; space group = P4/mmm
1.0
-3.427 0.853 0.896
-0.162 -3.304 2.525
1.404 2.335 3.145
Ir Sn Mn
2 1 1
direct
0.000 0.000 0.500
0.000 0.500 0.000
0.500 0.000 0.000
0.500 0.500 0.500

***

No. 3
MnSnIr GGA-PBE optimized geometry; space group = F-43m
1.0
4.359 0.000 0.000
2.179 3.775 0.000
2.179 1.258 3.559
Ir Sn Mn
1 1 1
direct
0.750 0.750 0.750
0.000 0.000 0.000
0.500 0.500 0.500

***

No. 4
MnSnIr2 GGA-PBE optimized geometry; space group = I-42d
1.0
-0.203 2.250 5.122
-3.234 -4.229 1.729
2.860 -3.896 4.883
Ir Sn Mn
4 2 2
direct
0.570 0.125 0.250
0.180 0.625 0.250
0.375 0.430 0.750
0.875 0.820 0.750
0.000 0.000 0.000
0.750 0.250 0.500
0.500 0.500 0.000
0.250 0.750 0.500

***

Calculated values (eV/atom) of E_form for the records, taken in order: -0.0725 -0.1393 -0.0750 0.6756.
Calculated values (eV per atom) of DFT total energy for the records, taken in order: -7.656 -7.863 -7.419 -7.048.
Calculated values (states/eV/f.u.) of DOS(E_F) for the records, taken in order: 2.9 3.1 3.4 3.3.